# HfSiP2Cl PBE-GGA optimized geometry
# Electronic total energy in eV/atom: -5.384
# Polymorph energy (0 for the lowest one) in eV per formula unit: 0.00
# Formation energy without anion corrections in eV per formula unit: 1.1
# DOS(E_F) in states/eV/f.u.: 2.96
data_HfSiP2Cl
_chemical_formula_sum 'Hf1 Si1 P2 Cl1'
_cell_length_a 5.043
_cell_length_b 5.043
_cell_length_c 4.814
_cell_angle_alpha 90.00
_cell_angle_beta 90.00
_cell_angle_gamma 90.00
_space_group_name_H-M_alt 'P 4/m m m'
_space_group_IT_number 123
_space_group_name_Hall '-P 4 2'
loop_
_atom_site_label
_atom_site_type_symbol
_atom_site_fract_x
_atom_site_fract_y
_atom_site_fract_z
Hf1 Hf 0.000 0.000 0.000
Si1 Si 0.500 0.500 0.500
P1 P 0.000 0.500 0.000
Cl1 Cl 0.000 0.000 0.500